Cu5Te2S2, relaxed, DFT PBE-GGA; M_tot = 0.0 μB/cell; uncorrected formation energy = -0.099 eV/atom; distance to the lowest polymorph of the same formula = 0.0000 eV per atom
1.0
6.209 -1.983 0.000
6.209 1.983 0.000
-0.531 0.000 7.307
Cu Te S
5 2 2
direct
0.000 0.000 0.000
0.184 0.184 0.457
0.328 0.328 0.010
0.672 0.672 0.990
0.816 0.816 0.543
0.399 0.399 0.380
0.601 0.601 0.620
0.157 0.157 0.145
0.843 0.843 0.855

Pm2PaGe, relaxed, DFT PBE-GGA; E_form = -15 kJ per mole of atoms; M_tot = 0.0 μB/cell; distance to the lowest polymorph of the same formula = 0.0134 eV per atom
1.0
4.761 0.000 0.000
0.000 4.761 0.000
0.000 0.000 4.516
Pm Pa Ge
2 1 1
direct
0.000 0.500 0.000
0.500 0.000 0.000
0.000 0.000 0.500
0.500 0.500 0.500